# POsSeN2

An optimized crystal structure of POsSeN2 (GGA-PBE, the Alexandria database).

The energy relative to the elements, uncorrected comes out at 888 meV per atom.

The space group is P4/mmm (No. 123) and the conventional cell measures 3.775, 3.775 and 5.550 Å, with angles of 90.00, 90.00 and 90.00 degrees. Symmetry generates all atoms from P at (0.000, 0.000, 0.000), Os at (0.500, 0.500, 0.500), Se at (0.500, 0.500, 0.000) and N at (0.000, 0.500, 0.500).

---

# PrURu3

An optimized crystal structure of PrURu3 (GGA-PBE, the Alexandria database).

The calculation puts the formation energy at -18 kJ/mol of atoms.

The space group is C2/m (No. 12) and the conventional cell measures 16.298, 4.335 and 6.216 Å, with angles of 90.00, 107.24 and 90.00 degrees. Symmetry generates all atoms from Pr at (0.074, 0.000, 0.318), U at (0.212, 0.500, 0.159), Ru at (0.070, 0.500, 0.927), Ru at (0.138, 0.000, 0.816) and Ru at (0.210, 0.500, 0.601).

---

# Li4HoSc

An optimized crystal structure of Li4HoSc (GGA-PBE, the Alexandria database).

The calculation puts the formation energy at 14 kJ/mol of atoms.

The space group is F-43m (No. 216) and the conventional cell measures 8.054, 8.054 and 8.054 Å, with angles of 90.00, 90.00 and 90.00 degrees. Symmetry generates all atoms from Li at (0.124, 0.124, 0.124), Ho at (0.000, 0.000, 0.500) and Sc at (0.250, 0.250, 0.750).

---

# SrZrAu2

An optimized crystal structure of SrZrAu2 (GGA-PBE, the Alexandria database).

The calculation puts the formation energy at -17 kJ/mol of atoms.

The space group is I-4m2 (No. 119) and the conventional cell measures 4.266, 4.266 and 10.290 Å, with angles of 90.00, 90.00 and 90.00 degrees. Symmetry generates all atoms from Sr at (0.000, 0.000, 0.000), Zr at (0.000, 0.500, 0.750), Au at (0.000, 0.000, 0.500) and Au at (0.000, 0.500, 0.250).

---

# NaSr2MgH

An optimized crystal structure of NaSr2MgH (GGA-PBE, the Alexandria database).

The space group is P4/mmm (No. 123) and the conventional cell measures 5.624, 5.624 and 4.774 Å, with angles of 90.00, 90.00 and 90.00 degrees. Symmetry generates all atoms from Na at (0.000, 0.000, 0.000), Sr at (0.000, 0.500, 0.500), Mg at (0.500, 0.500, 0.000) and H at (0.500, 0.500, 0.500).

---

# LiDy4Rh5

An optimized crystal structure of LiDy4Rh5 (GGA-PBE, the Alexandria database).

The calculation puts the formation energy at -70 kJ/mol of atoms.

The space group is P4/mmm (No. 123) and the conventional cell measures 3.391, 3.391 and 16.271 Å, with angles of 90.00, 90.00 and 90.00 degrees. Symmetry generates all atoms from Li at (0.000, 0.000, 0.000), Dy at (0.000, 0.000, 0.180), Dy at (0.000, 0.000, 0.393), Rh at (0.500, 0.500, 0.086), Rh at (0.500, 0.500, 0.290) and Rh at (0.500, 0.500, 0.500).

---

# KPuMgBr6

An optimized crystal structure of KPuMgBr6 (GGA-PBE, the Alexandria database).

The energy relative to the elements, uncorrected comes out at -1559 meV per atom.

The space group is P-31c (No. 163) and the conventional cell measures 7.2906, 7.2906 and 14.4390 Å, with angles of 90.00, 90.00 and 120.00 degrees. Symmetry generates all atoms from K at (0.0000, 0.0000, 0.0000), Pu at (0.3333, 0.6667, 0.2500), Mg at (0.3333, 0.6667, 0.7500) and Br at (0.0189, 0.3773, 0.6411).

---

# Mn2CdAu

An optimized crystal structure of Mn2CdAu (GGA-PBE, the Alexandria database).

The calculation puts the formation energy at 14 kJ/mol of atoms.

The space group is Pmm2 (No. 25) and the conventional cell measures 3.059, 4.670 and 4.803 Å, with angles of 90.00, 90.00 and 90.00 degrees. Symmetry generates all atoms from Mn at (0.000, 0.000, 0.000), Mn at (0.000, 0.500, 0.392), Cd at (0.500, 0.000, 0.503) and Au at (0.500, 0.500, 0.898).

---

Looking at VASP energy for the records above, in order, we have -6.467, -8.966, -2.947, -4.376, -1.987, -6.429, -4.566, -5.485 eV/atom.
Looking at D(E_F) for the records above, in order, we have 0.608, 0.687, 0.922, 0.979, 0.563, 0.377, 1.254, 0.507 states/eV/atom.